VASP calculation (PBE-GGA) on an optimized crystal structure of CaLaIn2.

CIF file:
```
data_CaLaIn2
_cell_length_a 4.1380
_cell_length_b 4.8861
_cell_length_c 6.5382
_cell_angle_alpha 90.00
_cell_angle_beta 108.20
_cell_angle_gamma 90.00
_space_group_name_H-M_alt 'P 1 m 1'
_space_group_IT_number 6
_space_group_name_Hall 'P -2y'
loop_
_atom_site_label
_atom_site_type_symbol
_atom_site_fract_x
_atom_site_fract_y
_atom_site_fract_z
Ca1 Ca 0.0000 0.0000 0.0000
La1 La 0.2952 0.5000 0.5947
In1 In 0.5694 0.5000 0.1374
In2 In 0.7193 0.0000 0.4426
```

Results
The calculation puts the calculated formation energy at -0.4533 eV/atom. The density of states at the Fermi level comes out at 2.83 states/eV per cell. Its magnetic moment is 0.0 Bohr magnetons per cell.